#i
Computed, not measured: a relaxed KLi3O crystal at the PBE level of DFT.

## Properties
* DOS at the Fermi energy: 0.22 states/eV/atom
* crystal system: cubic

Cell: 5.5158 5.5158 5.5158 Å, 90.00 90.00 90.00°
Last column: nearest neighbours and their distance in Å.
Sites, in units of the cell vectors:
1 Li 0.0000 0.0000 0.5000  2 K 2.76
2 O 0.5000 0.5000 0.5000  12 Li 3.90
3 K 0.0000 0.0000 0.0000  6 Li 2.76
4 Li 0.5000 0.0000 0.0000  2 K 2.76
5 Li 0.0000 0.5000 0.0000  2 K 2.76


#ii
Computed, not measured: a relaxed KLi3O crystal at the PBE level of DFT.

## Properties
* DOS at the Fermi energy: 0.05 states/eV/atom
* crystal system: cubic

Cell: 4.4551 4.4551 4.4551 Å, 90.00 90.00 90.00°
Last column: nearest neighbours and their distance in Å.
Sites, in units of the cell vectors:
1 Li 0.0000 0.0000 0.5000  2 O 2.23
2 Li 0.0000 0.5000 0.0000  2 O 2.23
3 O 0.0000 0.0000 0.0000  6 Li 2.23
4 Li 0.5000 0.0000 0.0000  2 O 2.23
5 K 0.5000 0.5000 0.5000  12 Li 3.15


Which of them is least stable? Easy: #i.


#i
Computed, not measured: a relaxed KLiPO2 crystal at the PBE level of DFT.

## Properties
* DOS at the Fermi energy: 0.79 states/eV/atom
* crystal system: tetragonal

Cell: 4.2007 4.2007 4.2670 Å, 90.00 90.00 90.00°
Last column: nearest neighbours and their distance in Å.
Sites, in units of the cell vectors:
1 O 0.0000 0.5000 0.0000  2 Li 2.10
2 K 0.5000 0.5000 0.5000  4 P 2.97, 8 O 2.99
3 O 0.5000 0.0000 0.0000  2 Li 2.10
4 P 0.0000 0.0000 0.5000  2 Li 2.13
5 Li 0.0000 0.0000 0.0000  4 O 2.10, 2 P 2.13


#ii
Computed, not measured: a relaxed KLiPO2 crystal at the PBE level of DFT.

## Properties
* DOS at the Fermi energy: 0.64 states/eV/atom
* crystal system: tetragonal

Cell: 4.8321 4.8321 6.0314 Å, 90.00 90.00 90.00°
Last column: nearest neighbours and their distance in Å.
Sites, in units of the cell vectors:
1 Li 0.5000 0.5000 0.5000  4 P 3.42
2 O 0.0000 0.5000 0.0000  2 K 2.42
3 P 0.0000 0.0000 0.5000  2 K 3.02
4 K 0.0000 0.0000 0.0000  4 O 2.42
5 O 0.5000 0.0000 0.0000  2 K 2.42


Which of them is least stable? Easy: #ii.


#i
Computed, not measured: a relaxed KLiP2O crystal at the PBE level of DFT.

## Properties
* DOS at the Fermi energy: 0.57 states/eV/atom
* crystal system: tetragonal

Cell: 6.0844 6.0844 4.7060 Å, 90.00 90.00 90.00°
Last column: nearest neighbours and their distance in Å.
Sites, in units of the cell vectors:
1 O 0.0000 0.0000 0.5000  2 K 2.35
2 K 0.0000 0.0000 0.0000  2 O 2.35
3 Li 0.5000 0.5000 0.5000  8 P 3.85, 4 O 4.30
4 P 0.5000 0.0000 0.0000  2 K 3.04
5 P 0.0000 0.5000 0.0000  2 K 3.04


#ii
Computed, not measured: a relaxed KLiP2O crystal at the PBE level of DFT.

## Properties
* DOS at the Fermi energy: 0.70 states/eV/atom
* crystal system: tetragonal

Cell: 4.4653 4.4653 4.4524 Å, 90.00 90.00 90.00°
Last column: nearest neighbours and their distance in Å.
Sites, in units of the cell vectors:
1 P 0.0000 0.5000 0.0000  2 Li 2.23
2 Li 0.0000 0.0000 0.0000  2 O 2.23, 4 P 2.23
3 P 0.5000 0.0000 0.0000  2 Li 2.23
4 K 0.5000 0.5000 0.5000  8 P 3.15, 4 O 3.16
5 O 0.0000 0.0000 0.5000  2 Li 2.23


Which of them is least stable? Easy: #i.